A plane-wave DFT calculation with GGA-PBE was carried out for an optimized crystal structure of Y4CuAs.

Summary:
* SG: F-43m, No. 216
* DFT total energy: -5.26 eV per atom

a b c (Å): 6.171 6.171 6.171
angles (deg): 60.00 60.00 60.00
Sites, in units of the cell vectors:
Y 0.375 0.375 0.375
Y 0.874 0.375 0.375
Y 0.375 0.375 0.874
Cu 0.000 0.000 0.000
Y 0.375 0.874 0.375
As 0.750 0.750 0.750

A plane-wave DFT calculation with GGA-PBE was carried out for an optimized crystal structure of LaReW.

Summary:
* SG: F-43m, No. 216
* energy above the lowest structure with this stoichiometry: 673 meV per atom
* DFT total energy: -9.23 eV per atom

a b c (Å): 4.598 4.598 4.598
angles (deg): 60.00 60.00 60.00
Sites, in units of the cell vectors:
La 0.500 0.500 0.500
W 0.000 0.000 0.000
Re 0.750 0.750 0.750

A plane-wave DFT calculation with GGA-PBE was carried out for an optimized crystal structure of LiVSe3.

Summary:
* SG: Cmcm, No. 63
* formation energy from raw total energies: -0.513 eV per atom
* energy above the lowest structure with this stoichiometry: 230 meV per atom
* DFT total energy: -4.81 eV per atom

a b c (Å): 8.052 8.052 7.220
angles (deg): 90.00 90.00 125.89
Sites, in units of the cell vectors:
Se 0.558 0.938 0.750
V 0.100 0.900 0.250
Se 0.000 0.000 0.500
Li 0.306 0.694 0.250
Li 0.694 0.306 0.750
Se 0.442 0.062 0.250
Se 0.938 0.558 0.250
Se 0.062 0.442 0.750
Se 0.000 0.000 0.000
V 0.900 0.100 0.750

A plane-wave DFT calculation with GGA-PBE was carried out for an optimized crystal structure of SrNbRh3.

Summary:
* SG: Pm-3m, No. 221
* energy above the lowest structure with this stoichiometry: 0 meV per atom
* DFT total energy: -6.59 eV per atom

a b c (Å): 4.828 4.828 4.828
angles (deg): 90.00 90.00 90.00
Sites, in units of the cell vectors:
Nb 0.000 0.000 0.000
Rh 0.000 0.500 0.000
Rh 0.000 0.000 0.500
Sr 0.500 0.500 0.500
Rh 0.500 0.000 0.000